(1)
The following is a PBE calculation of a relaxed structure of Ba4SrS5, from Alexandria via LeMat-Bulk.

Cell: 4.508 6.391 11.951 Å, 105.51 100.87 90.00°
Fractional positions:
Ba  0.401  0.401  0.803
Ba  0.802  0.802  0.604
Ba  0.198  0.198  0.396
Ba  0.599  0.599  0.197
Sr  0.000  0.000  0.000
S  0.594  0.094  0.188
S  0.799  0.299  0.598
S  0.201  0.701  0.402
S  0.000  0.500  0.000
S  0.406  0.906  0.812

E_form (uncorrected) in eV per formula unit: -20.8
Density of states at the Fermi level in states/eV per atom: 0.00

---

(2)
The following is a PBE calculation of a relaxed structure of TbY3Rh2, from Alexandria via LeMat-Bulk.

Cell: 6.727 7.113 8.381 Å, 115.11 113.66 90.00°
Fractional positions:
Tb  0.000  0.500  0.000
Tb  0.000  0.000  0.000
Y  0.500  0.250  0.000
Y  0.500  0.750  0.000
Y  0.767  0.017  0.534
Y  0.233  0.483  0.466
Y  0.233  0.983  0.466
Y  0.767  0.517  0.534
Rh  0.576  0.362  0.725
Rh  0.851  0.138  0.275
Rh  0.149  0.862  0.725
Rh  0.424  0.638  0.275

Formation energy from the elements in eV per formula unit: -3.298
Density of states at the Fermi level in states/eV per atom: 0.87

---

(3)
The following is a PBE calculation of a relaxed structure of Tb12Cu6Pt, from Alexandria via LeMat-Bulk.

Cell: 8.191 8.191 8.191 Å, 98.78 98.78 98.78°
Fractional positions:
Tb  0.813  0.585  0.433
Tb  0.433  0.813  0.585
Tb  0.585  0.433  0.813
Tb  0.187  0.415  0.567
Tb  0.567  0.187  0.415
Tb  0.415  0.567  0.187
Tb  0.087  0.955  0.325
Tb  0.045  0.675  0.913
Tb  0.675  0.913  0.045
Tb  0.913  0.045  0.675
Tb  0.955  0.325  0.087
Tb  0.325  0.087  0.955
Cu  0.686  0.868  0.377
Cu  0.623  0.314  0.132
Cu  0.132  0.623  0.314
Cu  0.314  0.132  0.623
Cu  0.377  0.686  0.868
Cu  0.868  0.377  0.686
Pt  0.000  0.000  0.000

Formation energy from the elements in eV per formula unit: -1.445
Density of states at the Fermi level in states/eV per atom: 1.28

---

(4)
The following is a PBE calculation of a relaxed structure of TbCd2S4, from Alexandria via LeMat-Bulk.

Cell: 3.886 6.827 12.080 Å, 90.00 90.00 106.54°
Fractional positions:
Tb  0.606  0.213  0.750
Tb  0.394  0.787  0.250
Cd  0.134  0.267  0.434
Cd  0.866  0.733  0.934
Cd  0.134  0.267  0.066
Cd  0.866  0.733  0.566
S  0.782  0.565  0.127
S  0.782  0.565  0.373
S  0.218  0.435  0.873
S  0.218  0.435  0.627
S  0.960  0.919  0.750
S  0.040  0.081  0.250
S  0.500  0.000  0.000
S  0.500  0.000  0.500

E_form (uncorrected) in eV per formula unit: -6.4
Density of states at the Fermi level in states/eV per atom: 0.65

---

(5)
The following is a PBE calculation of a relaxed structure of ZnB12H10O24, from Alexandria via LeMat-Bulk.

Cell: 8.670 8.769 11.681 Å, 77.90 90.00 90.00°
Fractional positions:
Zn  0.500  0.500  0.500
Zn  0.000  0.000  0.500
B  0.405  0.293  0.970
B  0.905  0.207  0.030
B  0.595  0.707  0.030
B  0.095  0.793  0.970
B  0.401  0.109  0.844
B  0.901  0.391  0.156
B  0.599  0.891  0.156
B  0.099  0.609  0.844
B  0.544  0.361  0.782
B  0.044  0.139  0.218
B  0.456  0.639  0.218
B  0.956  0.861  0.782
B  0.797  0.440  0.648
B  0.297  0.060  0.352
B  0.203  0.560  0.352
B  0.703  0.940  0.648
B  0.752  0.744  0.524
B  0.252  0.756  0.476
B  0.248  0.256  0.476
B  0.748  0.244  0.524
B  0.486  0.794  0.584
B  0.986  0.706  0.416
B  0.514  0.206  0.416
B  0.014  0.294  0.584
H  0.778  0.301  0.825
H  0.278  0.199  0.175
H  0.222  0.699  0.175
H  0.722  0.801  0.825
H  0.883  0.648  0.685
H  0.383  0.852  0.315
H  0.117  0.352  0.315
H  0.617  0.148  0.685
H  0.409  0.939  0.757
H  0.909  0.561  0.243
H  0.591  0.061  0.243
H  0.091  0.439  0.757
H  0.407  0.425  0.089
H  0.907  0.075  0.911
H  0.593  0.575  0.911
H  0.093  0.925  0.089
H  0.637  0.507  0.287
H  0.137  0.993  0.713
H  0.363  0.493  0.713
H  0.863  0.007  0.287
O  0.348  0.157  0.943
O  0.848  0.343  0.057
O  0.652  0.843  0.057
O  0.152  0.657  0.943
O  0.510  0.199  0.773
O  0.010  0.301  0.227
O  0.490  0.801  0.227
O  0.990  0.699  0.773
O  0.503  0.391  0.896
O  0.003  0.109  0.104
O  0.497  0.609  0.104
O  0.997  0.891  0.896
O  0.717  0.382  0.766
O  0.217  0.118  0.234
O  0.283  0.618  0.234
O  0.783  0.882  0.766
O  0.801  0.614  0.631
O  0.301  0.886  0.369
O  0.199  0.386  0.369
O  0.699  0.114  0.631
O  0.584  0.727  0.513
O  0.084  0.773  0.487
O  0.416  0.273  0.487
O  0.916  0.227  0.513
O  0.711  0.395  0.554
O  0.211  0.105  0.446
O  0.289  0.605  0.446
O  0.789  0.895  0.554
O  0.346  0.974  0.818
O  0.846  0.526  0.182
O  0.654  0.026  0.182
O  0.154  0.474  0.818
O  0.364  0.324  0.077
O  0.864  0.176  0.923
O  0.636  0.676  0.923
O  0.136  0.824  0.077
O  0.953  0.381  0.660
O  0.453  0.119  0.340
O  0.047  0.619  0.340
O  0.547  0.881  0.660
O  0.830  0.720  0.422
O  0.330  0.780  0.578
O  0.170  0.280  0.578
O  0.670  0.220  0.422
O  0.532  0.526  0.312
O  0.032  0.974  0.688
O  0.468  0.474  0.688
O  0.968  0.026  0.312

E in eV/atom: -6.931
Density of states at the Fermi level in states/eV per atom: 0.00

---

(6)
The following is a PBE calculation of a relaxed structure of LiSmY4Se8, from Alexandria via LeMat-Bulk.

Cell: 8.382 8.382 8.429 Å, 60.18 60.18 60.00°
Fractional positions:
Li  0.375  0.375  0.875
Sm  0.005  0.005  0.986
Y  0.626  0.626  0.123
Y  0.005  0.485  0.505
Y  0.485  0.005  0.505
Y  0.005  0.005  0.505
Se  0.247  0.765  0.740
Se  0.765  0.247  0.740
Se  0.247  0.247  0.740
Se  0.244  0.244  0.267
Se  0.755  0.226  0.263
Se  0.226  0.755  0.263
Se  0.755  0.755  0.263
Se  0.759  0.759  0.723

E_form (uncorrected) in eV per formula unit: -25.0
Density of states at the Fermi level in states/eV per atom: 0.00

---

(7)
The following is a PBE calculation of a relaxed structure of Ti5NbSn3, from Alexandria via LeMat-Bulk.

Cell: 5.643 8.237 8.238 Å, 120.00 90.00 90.00°
Fractional positions:
Ti  0.000  0.667  0.333
Ti  0.500  0.333  0.667
Ti  0.000  0.333  0.667
Ti  0.500  0.667  0.333
Ti  0.750  0.670  0.670
Ti  0.750  0.000  0.330
Ti  0.750  0.330  0.000
Ti  0.250  0.330  0.330
Ti  0.250  0.000  0.670
Ti  0.250  0.670  0.000
Nb  0.000  0.000  0.000
Nb  0.500  0.000  0.000
Sn  0.750  0.337  0.338
Sn  0.750  0.000  0.662
Sn  0.750  0.662  0.000
Sn  0.250  0.663  0.662
Sn  0.250  0.000  0.338
Sn  0.250  0.338  0.000

Formation energy from the elements in eV per formula unit: -2.780
Density of states at the Fermi level in states/eV per atom: 0.83

---

(8)
The following is a PBE calculation of a relaxed structure of Li3YGa3, from Alexandria via LeMat-Bulk.

Cell: 6.634 6.634 6.634 Å, 90.00 90.00 90.00°
Fractional positions:
Y  0.500  0.500  0.500
Y  0.000  0.000  0.000
Ga  0.000  0.250  0.500
Ga  0.000  0.750  0.500
Ga  0.500  0.000  0.750
Ga  0.750  0.500  0.000
Ga  0.500  0.000  0.250
Ga  0.250  0.500  0.000
Li  0.250  0.000  0.500
Li  0.000  0.500  0.250
Li  0.500  0.750  0.000
Li  0.750  0.000  0.500
Li  0.000  0.500  0.750
Li  0.500  0.250  0.000

Formation energy from the elements in eV per formula unit: 1.134
Density of states at the Fermi level in states/eV per atom: 0.44

---

Question: Which value of density of states at the Fermi level does entry 1 give?
Answer: 0.00 states/eV per atom

---

Question: Which of these has the highest density of states at the Fermi level?
Answer: Tb12Cu6Pt

---

Copy entry 4 word for word.
The following is a PBE calculation of a relaxed structure of TbCd2S4, from Alexandria via LeMat-Bulk.

Cell: 3.886 6.827 12.080 Å, 90.00 90.00 106.54°
Fractional positions:
Tb  0.606  0.213  0.750
Tb  0.394  0.787  0.250
Cd  0.134  0.267  0.434
Cd  0.866  0.733  0.934
Cd  0.134  0.267  0.066
Cd  0.866  0.733  0.566
S  0.782  0.565  0.127
S  0.782  0.565  0.373
S  0.218  0.435  0.873
S  0.218  0.435  0.627
S  0.960  0.919  0.750
S  0.040  0.081  0.250
S  0.500  0.000  0.000
S  0.500  0.000  0.500

E_form (uncorrected) in eV per formula unit: -6.4
Density of states at the Fermi level in states/eV per atom: 0.65

---

Question: Which formula does entry 4 have?
Answer: TbCd2S4